Here is a relaxed structure of InSb2Br from the Alexandria database. Energies are from PBE-GGA.

Cell lengths 3.422, 3.422, 9.926 Å; angles 90.00, 90.00, 111.23 degrees
Atoms (fractional coordinates):
In (0.000, 0.000, 0.000)
Sb (0.500, 0.500, 0.252)
Sb (0.500, 0.500, 0.748)
Br (0.000, 0.000, 0.500)

Computed properties:
Formation energy from raw total energies in eV per atom: 0.110
Space group: Cmmm, No. 65

Here is a relaxed structure of In2SbBr8 from the Alexandria database. Energies are from PBE-GGA.

Cell lengths 8.205, 8.205, 7.837 Å; angles 91.57, 91.57, 70.05 degrees
Atoms (fractional coordinates):
In (0.211, 0.211, 0.177)
In (0.789, 0.789, 0.823)
Sb (0.000, 0.000, 0.500)
Br (0.090, 0.675, 0.667)
Br (0.161, 0.161, 0.865)
Br (0.325, 0.910, 0.333)
Br (0.392, 0.392, 0.258)
Br (0.608, 0.608, 0.742)
Br (0.675, 0.090, 0.667)
Br (0.839, 0.839, 0.135)
Br (0.910, 0.325, 0.333)

Computed properties:
Formation energy from raw total energies in eV per atom: -0.637
Space group: C2/m, No. 12

Here is a relaxed structure of In2SbBr from the Alexandria database. Energies are from PBE-GGA.

Cell lengths 3.598, 4.945, 6.516 Å; angles 90.00, 92.00, 90.00 degrees
Atoms (fractional coordinates):
In (0.039, 0.000, 0.244)
In (0.961, 0.000, 0.756)
Sb (0.500, 0.500, 0.500)
Br (0.500, 0.500, 0.000)

Computed properties:
Formation energy from raw total energies in eV per atom: -0.076
Space group: P2/m, No. 10

Here is a relaxed structure of InSbBr from the Alexandria database. Energies are from PBE-GGA.

Cell lengths 6.194, 6.194, 6.194 Å; angles 145.48, 130.92, 61.39 degrees
Atoms (fractional coordinates):
In (0.000, 0.000, 0.000)
Sb (0.546, 0.546, 0.000)
Br (0.292, 0.292, 0.000)

Computed properties:
Formation energy from raw total energies in eV per atom: -0.074
Space group: Imm2, No. 44

Here is a relaxed structure of InSb2Br from the Alexandria database. Energies are from PBE-GGA.

Cell lengths 3.773, 3.773, 9.163 Å; angles 90.00, 90.00, 90.00 degrees
Atoms (fractional coordinates):
In (0.000, 0.000, 0.000)
Sb (0.000, 0.000, 0.481)
Sb (0.500, 0.500, 0.319)
Br (0.500, 0.500, 0.823)

Computed properties:
Formation energy from raw total energies in eV per atom: -0.140
Space group: P4mm, No. 99

Here is a relaxed structure of InSb2Br8 from the Alexandria database. Energies are from PBE-GGA.

Cell lengths 8.281, 8.281, 8.744 Å; angles 92.00, 92.00, 56.82 degrees
Atoms (fractional coordinates):
In (0.000, 0.000, 0.000)
Sb (0.141, 0.141, 0.365)
Sb (0.859, 0.859, 0.635)
Br (0.076, 0.076, 0.712)
Br (0.103, 0.617, 0.843)
Br (0.315, 0.315, 0.417)
Br (0.383, 0.897, 0.157)
Br (0.617, 0.103, 0.843)
Br (0.685, 0.685, 0.583)
Br (0.897, 0.383, 0.157)
Br (0.924, 0.924, 0.288)

Computed properties:
Formation energy from raw total energies in eV per atom: -0.549
Space group: C2/m, No. 12

Here is a relaxed structure of In2SbBr from the Alexandria database. Energies are from PBE-GGA.

Cell lengths 3.591, 3.591, 9.005 Å; angles 90.00, 90.00, 90.00 degrees
Atoms (fractional coordinates):
In (0.000, 0.000, 0.244)
In (0.000, 0.000, 0.756)
Sb (0.500, 0.500, 0.500)
Br (0.500, 0.500, 0.000)

Computed properties:
Formation energy from raw total energies in eV per atom: -0.145
Space group: P4/mmm, No. 123

Here is a relaxed structure of InSbBr from the Alexandria database. Energies are from PBE-GGA.

Cell lengths 5.167, 5.167, 5.167 Å; angles 60.00, 60.00, 60.00 degrees
Atoms (fractional coordinates):
In (0.000, 0.000, 0.000)
Sb (0.250, 0.250, 0.250)
Br (0.500, 0.500, 0.500)

Computed properties:
Formation energy from raw total energies in eV per atom: 0.033
Space group: F-43m, No. 216

Here is a relaxed structure of In2Sb2Br from the Alexandria database. Energies are from PBE-GGA.

Cell lengths 8.781, 8.781, 3.707 Å; angles 90.00, 90.00, 90.00 degrees
Atoms (fractional coordinates):
In (0.149, 0.351, 0.000)
In (0.351, 0.851, 0.000)
In (0.649, 0.149, 0.000)
In (0.851, 0.649, 0.000)
Sb (0.150, 0.650, 0.500)
Sb (0.350, 0.150, 0.500)
Sb (0.650, 0.850, 0.500)
Sb (0.850, 0.350, 0.500)
Br (0.000, 0.000, 0.500)
Br (0.500, 0.500, 0.500)

Computed properties:
Formation energy from raw total energies in eV per atom: -0.006
Space group: P4/mbm, No. 127

Here is a relaxed structure of In2SbBr from the Alexandria database. Energies are from PBE-GGA.

Cell lengths 3.533, 3.533, 9.801 Å; angles 90.00, 90.00, 90.00 degrees
Atoms (fractional coordinates):
In (0.000, 0.000, 0.000)
In (0.500, 0.500, 0.254)
Sb (0.000, 0.000, 0.464)
Br (0.500, 0.500, 0.821)

Computed properties:
Formation energy from raw total energies in eV per atom: -0.117
Space group: P4mm, No. 99

Here is a relaxed structure of InSbBr3 from the Alexandria database. Energies are from PBE-GGA.

Cell lengths 5.768, 5.768, 5.768 Å; angles 90.00, 90.00, 90.00 degrees
Atoms (fractional coordinates):
In (0.000, 0.000, 0.000)
Sb (0.500, 0.500, 0.500)
Br (0.000, 0.500, 0.500)
Br (0.500, 0.000, 0.500)
Br (0.500, 0.500, 0.000)

Computed properties:
Formation energy from raw total energies in eV per atom: -0.391
Space group: Pm-3m, No. 221

Here is a relaxed structure of InSb2Br from the Alexandria database. Energies are from PBE-GGA.

Cell lengths 6.096, 6.096, 7.346 Å; angles 124.24, 124.24, 38.98 degrees
Atoms (fractional coordinates):
In (0.000, 0.000, 0.000)
Sb (0.214, 0.214, 0.851)
Sb (0.568, 0.568, 0.511)
Br (0.767, 0.767, 0.403)

Computed properties:
Formation energy from raw total energies in eV per atom: -0.112
Space group: Cm, No. 8

Here is a relaxed structure of In2SbBr from the Alexandria database. Energies are from PBE-GGA.

Cell lengths 5.773, 5.307, 5.300 Å; angles 65.95, 57.08, 56.97 degrees
Atoms (fractional coordinates):
In (0.000, 0.000, 0.000)
In (0.250, 0.250, 0.250)
Sb (0.750, 0.750, 0.750)
Br (0.500, 0.500, 0.500)

Computed properties:
Formation energy from raw total energies in eV per atom: -0.016
Space group: F222, No. 22

Here is a relaxed structure of In3SbBr6 from the Alexandria database. Energies are from PBE-GGA.

Cell lengths 7.583, 8.636, 13.252 Å; angles 90.00, 121.50, 90.00 degrees
Atoms (fractional coordinates):
In (0.000, 0.000, 0.000)
In (0.000, 0.500, 0.500)
In (0.197, 0.080, 0.731)
In (0.197, 0.420, 0.231)
In (0.803, 0.580, 0.769)
In (0.803, 0.920, 0.269)
Sb (0.500, 0.000, 0.500)
Sb (0.500, 0.500, 0.000)
Br (0.147, 0.169, 0.459)
Br (0.147, 0.331, 0.959)
Br (0.263, 0.722, 0.424)
Br (0.263, 0.778, 0.924)
Br (0.397, 0.061, 0.265)
Br (0.397, 0.439, 0.765)
Br (0.603, 0.561, 0.235)
Br (0.603, 0.939, 0.735)
Br (0.737, 0.222, 0.076)
Br (0.737, 0.278, 0.576)
Br (0.853, 0.669, 0.041)
Br (0.853, 0.831, 0.541)

Computed properties:
Formation energy from raw total energies in eV per atom: -0.644
Space group: P2_1/c, No. 14

Here is a relaxed structure of InSb2Br from the Alexandria database. Energies are from PBE-GGA.

Cell lengths 3.396, 5.408, 6.433 Å; angles 90.00, 90.00, 90.00 degrees
Atoms (fractional coordinates):
In (0.000, 0.000, 0.000)
Sb (0.500, 0.500, 0.220)
Sb (0.500, 0.500, 0.780)
Br (0.000, 0.000, 0.500)

Computed properties:
Formation energy from raw total energies in eV per atom: 0.082
Space group: Pmmm, No. 47

Here is a relaxed structure of In2SbBr from the Alexandria database. Energies are from PBE-GGA.

Cell lengths 8.253, 8.253, 8.253 Å; angles 32.20, 32.20, 32.20 degrees
Atoms (fractional coordinates):
In (0.000, 0.000, 0.000)
In (0.187, 0.187, 0.187)
Sb (0.623, 0.623, 0.623)
Br (0.443, 0.443, 0.443)

Computed properties:
Formation energy from raw total energies in eV per atom: -0.211
Space group: R3m, No. 160

Here is a relaxed structure of InSb3Br from the Alexandria database. Energies are from PBE-GGA.

Cell lengths 5.664, 5.664, 5.664 Å; angles 90.00, 90.00, 90.00 degrees
Atoms (fractional coordinates):
In (0.000, 0.000, 0.000)
Sb (0.000, 0.000, 0.500)
Sb (0.000, 0.500, 0.000)
Sb (0.500, 0.000, 0.000)
Br (0.500, 0.500, 0.500)

Computed properties:
Formation energy from raw total energies in eV per atom: 0.693
Space group: Pm-3m, No. 221

Here is a relaxed structure of InSb3Br from the Alexandria database. Energies are from PBE-GGA.

Cell lengths 5.588, 5.588, 5.588 Å; angles 90.00, 90.00, 90.00 degrees
Atoms (fractional coordinates):
In (0.000, 0.000, 0.000)
Sb (0.000, 0.500, 0.500)
Sb (0.500, 0.000, 0.500)
Sb (0.500, 0.500, 0.000)
Br (0.500, 0.500, 0.500)

Computed properties:
Formation energy from raw total energies in eV per atom: 0.801
Space group: Pm-3m, No. 221

Here is a relaxed structure of In3SbBr6 from the Alexandria database. Energies are from PBE-GGA.

Cell lengths 9.320, 9.320, 9.320 Å; angles 93.78, 93.78, 93.78 degrees
Atoms (fractional coordinates):
In (0.082, 0.582, 0.757)
In (0.243, 0.918, 0.418)
In (0.418, 0.243, 0.918)
In (0.582, 0.757, 0.082)
In (0.757, 0.082, 0.582)
In (0.918, 0.418, 0.243)
Sb (0.000, 0.000, 0.000)
Sb (0.500, 0.500, 0.500)
Br (0.048, 0.920, 0.709)
Br (0.080, 0.291, 0.952)
Br (0.206, 0.546, 0.424)
Br (0.291, 0.952, 0.080)
Br (0.424, 0.206, 0.546)
Br (0.454, 0.576, 0.794)
Br (0.546, 0.424, 0.206)
Br (0.576, 0.794, 0.454)
Br (0.709, 0.048, 0.920)
Br (0.794, 0.454, 0.576)
Br (0.920, 0.709, 0.048)
Br (0.952, 0.080, 0.291)

Computed properties:
Formation energy from raw total energies in eV per atom: -0.642
Space group: R-3, No. 148

Here is a relaxed structure of InSbBr from the Alexandria database. Energies are from PBE-GGA.

Cell lengths 6.399, 6.399, 6.643 Å; angles 98.24, 98.24, 47.86 degrees
Atoms (fractional coordinates):
In (0.186, 0.186, 0.278)
In (0.814, 0.814, 0.722)
Sb (0.395, 0.395, 0.584)
Sb (0.605, 0.605, 0.416)
Br (0.142, 0.142, 0.876)
Br (0.858, 0.858, 0.124)

Computed properties:
Formation energy from raw total energies in eV per atom: -0.312
Space group: C2/m, No. 12

Here is a relaxed structure of InSb2Br from the Alexandria database. Energies are from PBE-GGA.

Cell lengths 6.797, 6.797, 5.116 Å; angles 108.03, 108.03, 31.10 degrees
Atoms (fractional coordinates):
In (0.000, 0.000, 0.000)
Sb (0.291, 0.291, 0.808)
Sb (0.709, 0.709, 0.192)
Br (0.500, 0.500, 0.500)

Computed properties:
Formation energy from raw total energies in eV per atom: -0.057
Space group: C2/m, No. 12

Here is a relaxed structure of InSb2Br from the Alexandria database. Energies are from PBE-GGA.

Cell lengths 3.817, 3.817, 7.841 Å; angles 90.00, 90.00, 90.00 degrees
Atoms (fractional coordinates):
In (0.000, 0.000, 0.000)
Sb (0.500, 0.500, 0.203)
Sb (0.500, 0.500, 0.797)
Br (0.000, 0.000, 0.500)

Computed properties:
Formation energy from raw total energies in eV per atom: 0.050
Space group: P4/mmm, No. 123

Here is a relaxed structure of In2SbBr6 from the Alexandria database. Energies are from PBE-GGA.

Cell lengths 7.361, 7.605, 14.379 Å; angles 90.00, 120.05, 90.00 degrees
Atoms (fractional coordinates):
In (0.183, 0.010, 0.187)
In (0.183, 0.490, 0.687)
In (0.817, 0.510, 0.313)
In (0.817, 0.990, 0.813)
Sb (0.500, 0.000, 0.000)
Sb (0.500, 0.500, 0.500)
Br (0.178, 0.213, 0.995)
Br (0.178, 0.287, 0.495)
Br (0.192, 0.730, 0.344)
Br (0.192, 0.770, 0.844)
Br (0.489, 0.207, 0.832)
Br (0.489, 0.293, 0.332)
Br (0.511, 0.707, 0.668)
Br (0.511, 0.793, 0.168)
Br (0.808, 0.230, 0.156)
Br (0.808, 0.270, 0.656)
Br (0.822, 0.713, 0.505)
Br (0.822, 0.787, 0.005)

Computed properties:
Formation energy from raw total energies in eV per atom: -0.606
Space group: P2_1/c, No. 14

Here is a relaxed structure of InSb2Br from the Alexandria database. Energies are from PBE-GGA.

Cell lengths 3.422, 5.678, 5.758 Å; angles 90.00, 90.00, 90.00 degrees
Atoms (fractional coordinates):
In (0.000, 0.000, 0.000)
Sb (0.000, 0.500, 0.500)
Sb (0.500, 0.000, 0.500)
Br (0.500, 0.500, 0.000)

Computed properties:
Formation energy from raw total energies in eV per atom: 0.022
Space group: Pmmm, No. 47

Here is a relaxed structure of InSbBr from the Alexandria database. Energies are from PBE-GGA.

Cell lengths 3.491, 4.206, 13.930 Å; angles 89.98, 83.01, 89.99 degrees
Atoms (fractional coordinates):
In (0.000, 0.000, 0.000)
In (0.300, 0.501, 0.458)
Sb (0.119, 0.502, 0.801)
Sb (0.184, 0.002, 0.657)
Br (0.453, 0.501, 0.102)
Br (0.848, 0.002, 0.356)

Computed properties:
Formation energy from raw total energies in eV per atom: -0.298
Space group: P1, No. 1

Here is a relaxed structure of In2SbBr2 from the Alexandria database. Energies are from PBE-GGA.

Cell lengths 8.701, 8.701, 4.087 Å; angles 90.00, 90.00, 90.00 degrees
Atoms (fractional coordinates):
In (0.198, 0.302, 0.000)
In (0.302, 0.802, 0.000)
In (0.698, 0.198, 0.000)
In (0.802, 0.698, 0.000)
Sb (0.000, 0.000, 0.000)
Sb (0.500, 0.500, 0.000)
Br (0.133, 0.633, 0.500)
Br (0.367, 0.133, 0.500)
Br (0.633, 0.867, 0.500)
Br (0.867, 0.367, 0.500)

Computed properties:
Formation energy from raw total energies in eV per atom: -0.243
Space group: P4/mbm, No. 127